Entry 1:
# PBE-GGA GaTe2N, relaxed
data_GaTe2N
_chemical_formula_sum 'Ga3 Te6 N3'
_cell_length_a 3.2640
_cell_length_b 3.2640
_cell_length_c 27.9357
_cell_angle_alpha 90.00
_cell_angle_beta 90.00
_cell_angle_gamma 120.00
_symmetry_space_group_name_H-M 'R -3 m'
_symmetry_Int_Tables_number 166
_symmetry_space_group_name_Hall '-R 3 2"'
loop_
_atom_site_label
_atom_site_fract_x
_atom_site_fract_y
_atom_site_fract_z
Ga1 0.0000 0.0000 0.0000
Te1 0.0000 0.0000 0.1078
N1 0.0000 0.0000 0.5000
# - E (eV/atom) = -3.53
# - density of states at the Fermi level (states/eV/f.u.) = 1.93

Entry 2:
# PBE-GGA GaTeN, relaxed
data_GaTeN
_chemical_formula_sum 'Ga4 Te4 N4'
_cell_length_a 18.221
_cell_length_b 3.172
_cell_length_c 5.608
_cell_angle_alpha 90.00
_cell_angle_beta 107.02
_cell_angle_gamma 90.00
_symmetry_space_group_name_H-M 'C 1 m 1'
_symmetry_Int_Tables_number 8
_symmetry_space_group_name_Hall 'C -2y'
loop_
_atom_site_label
_atom_site_fract_x
_atom_site_fract_y
_atom_site_fract_z
Ga1 0.000 0.000 0.000
Ga2 0.010 0.500 0.504
Te1 0.187 0.500 0.863
Te2 0.315 0.500 0.693
N1 0.002 0.000 0.331
N2 0.011 0.500 0.839
# - E (eV/atom) = -4.85
# - density of states at the Fermi level (states/eV/f.u.) = 1.44